[1]
VASP calculation (GGA-PBE) on a relaxed structure of La8Mg3Co2.

Unit cell a=10.4772 b=10.4772 c=3.9566 alpha=100.53 beta=100.53 gamma=65.32
Fractional positions:
La 0.0692 0.5986 0.8761
La 0.0925 0.0925 0.3828
La 0.3165 0.3165 0.3914
La 0.4014 0.9308 0.1239
La 0.5986 0.0692 0.8761
La 0.6835 0.6835 0.6086
La 0.9075 0.9075 0.6172
La 0.9308 0.4014 0.1239
Mg 0.2809 0.7191 0.5000
Mg 0.5000 0.5000 0.0000
Mg 0.7191 0.2809 0.5000
Co 0.2073 0.2073 0.8550
Co 0.7927 0.7927 0.1450

The space group is No. 12. The calculation puts the density of states at the Fermi level at 13.8 states/eV/cell.

[2]
VASP calculation (GGA-PBE) on a relaxed structure of La3MgCo.

Unit cell a=5.4061 b=5.4061 c=5.4061 alpha=90.00 beta=90.00 gamma=90.00
Fractional positions:
La 0.0000 0.0000 0.5000
La 0.0000 0.5000 0.0000
La 0.5000 0.0000 0.0000
Mg 0.5000 0.5000 0.5000
Co 0.0000 0.0000 0.0000

The space group is No. 221. The calculation puts the density of states at the Fermi level at 6.4 states/eV/cell.

[3]
VASP calculation (GGA-PBE) on a relaxed structure of La7Mg2Co2.

Unit cell a=7.1205 b=7.1205 c=7.4536 alpha=90.00 beta=90.00 gamma=111.74
Fractional positions:
La 0.0000 0.0000 0.0000
La 0.0000 0.5000 0.2405
La 0.0000 0.5000 0.7595
La 0.5000 0.0000 0.2405
La 0.5000 0.0000 0.7595
La 0.5000 0.5000 0.2097
La 0.5000 0.5000 0.7903
Mg 0.1770 0.1770 0.5000
Mg 0.8230 0.8230 0.5000
Co 0.2845 0.7155 0.0000
Co 0.7155 0.2845 0.0000

The space group is No. 65. The calculation puts the density of states at the Fermi level at 13.6 states/eV/cell.

[4]
VASP calculation (GGA-PBE) on a relaxed structure of LaMg4Co.

Unit cell a=5.7786 b=5.7786 c=5.7786 alpha=60.00 beta=60.00 gamma=60.00
Fractional positions:
La 0.0000 0.0000 0.0000
Mg 0.1287 0.6238 0.6238
Mg 0.6238 0.1287 0.6238
Mg 0.6238 0.6238 0.1287
Mg 0.6238 0.6238 0.6238
Co 0.2500 0.2500 0.2500

The space group is No. 216. The calculation puts the density of states at the Fermi level at 2.3 states/eV/cell.

[5]
VASP calculation (GGA-PBE) on a relaxed structure of LaMg4Co.

Unit cell a=8.3484 b=4.5211 c=7.2453 alpha=90.00 beta=90.00 gamma=90.00
Fractional positions:
La 0.2500 0.0000 0.0652
La 0.7500 0.0000 0.9348
Mg 0.0000 0.0000 0.5000
Mg 0.0606 0.5000 0.7930
Mg 0.2500 0.5000 0.4571
Mg 0.4394 0.5000 0.7930
Mg 0.5000 0.0000 0.5000
Mg 0.5606 0.5000 0.2070
Mg 0.7500 0.5000 0.5429
Mg 0.9394 0.5000 0.2070
Co 0.2500 0.0000 0.7384
Co 0.7500 0.0000 0.2616

The space group is No. 51. The calculation puts the density of states at the Fermi level at 8.1 states/eV/cell.

[6]
VASP calculation (GGA-PBE) on a relaxed structure of LaMg3Co.

Unit cell a=5.3627 b=6.0550 c=7.2243 alpha=90.00 beta=105.70 gamma=90.00
Fractional positions:
La 0.0824 0.2500 0.4094
La 0.9176 0.7500 0.5906
Mg 0.0300 0.2500 0.8881
Mg 0.4860 0.5019 0.2096
Mg 0.4860 0.9981 0.2096
Mg 0.5140 0.0019 0.7904
Mg 0.5140 0.4981 0.7904
Mg 0.9700 0.7500 0.1119
Co 0.3162 0.7500 0.4781
Co 0.6838 0.2500 0.5219

The space group is No. 11. The calculation puts the density of states at the Fermi level at 6.2 states/eV/cell.

[7]
VASP calculation (GGA-PBE) on a relaxed structure of LaMgCo.

Unit cell a=6.4991 b=6.4991 c=6.4991 alpha=150.51 beta=150.51 gamma=42.20
Fractional positions:
La 0.0000 0.0000 0.0000
Mg 0.7378 0.7378 0.0000
Co 0.3593 0.3593 0.0000

The space group is No. 107. The calculation puts the density of states at the Fermi level at 2.1 states/eV/cell.

[8]
VASP calculation (GGA-PBE) on a relaxed structure of La4Mg2Co.

Unit cell a=9.2854 b=9.2854 c=9.2854 alpha=147.07 beta=147.07 gamma=47.25
Fractional positions:
La 0.0000 0.5000 0.5000
La 0.1704 0.1704 0.0000
La 0.5000 0.0000 0.5000
La 0.8296 0.8296 0.0000
Mg 0.3647 0.3647 0.0000
Mg 0.6353 0.6353 0.0000
Co 0.0000 0.0000 0.0000

The space group is No. 139. The calculation puts the density of states at the Fermi level at 11.6 states/eV/cell.

[9]
VASP calculation (GGA-PBE) on a relaxed structure of La8MgCo4.

Unit cell a=9.8985 b=9.8985 c=13.1777 alpha=130.67 beta=130.67 gamma=23.96
Fractional positions:
La 0.0000 0.0000 0.0000
La 0.0192 0.0192 0.7387
La 0.2928 0.2928 0.9187
La 0.3124 0.3124 0.6579
La 0.3604 0.3604 0.4006
La 0.6127 0.6127 0.5889
La 0.6995 0.6995 0.0685
La 0.9518 0.9518 0.2568
Mg 0.6567 0.6567 0.3294
Co 0.3184 0.3184 0.1508
Co 0.5106 0.5106 0.8678
Co 0.8016 0.8016 0.7899
Co 0.9938 0.9938 0.5066

The space group is No. 8. The calculation puts the density of states at the Fermi level at 11.4 states/eV/cell.

[10]
VASP calculation (GGA-PBE) on a relaxed structure of LaMgCo.

Unit cell a=5.1838 b=4.8099 c=5.4861 alpha=90.00 beta=101.26 gamma=90.00
Fractional positions:
La 0.1018 0.2500 0.3006
La 0.8982 0.7500 0.6994
Mg 0.4824 0.2500 0.8463
Mg 0.5176 0.7500 0.1537
Co 0.3835 0.7500 0.6111
Co 0.6165 0.2500 0.3889

The space group is No. 11. The calculation puts the density of states at the Fermi level at 4.3 states/eV/cell.

[11]
VASP calculation (GGA-PBE) on a relaxed structure of La8MgCo2.

Unit cell a=8.3003 b=8.3003 c=5.7544 alpha=96.07 beta=96.07 gamma=118.07
Fractional positions:
La 0.0000 0.0000 0.0000
La 0.1811 0.1811 0.5829
La 0.2472 0.5069 0.2368
La 0.3367 0.8448 0.7915
La 0.5069 0.2472 0.2368
La 0.6743 0.9340 0.3462
La 0.8448 0.3367 0.7915
La 0.9340 0.6743 0.3462
Mg 0.5908 0.5908 0.7907
Co 0.3044 0.8766 0.2914
Co 0.8766 0.3044 0.2914

The space group is No. 8. The calculation puts the density of states at the Fermi level at 14.2 states/eV/cell.

[12]
VASP calculation (GGA-PBE) on a relaxed structure of LaMgCo.

Unit cell a=4.6666 b=4.6666 c=4.6666 alpha=60.00 beta=60.00 gamma=60.00
Fractional positions:
La 0.0000 0.0000 0.0000
Mg 0.5000 0.5000 0.5000
Co 0.2500 0.2500 0.2500

The space group is No. 216. The calculation puts the density of states at the Fermi level at 1.9 states/eV/cell.

[13]
VASP calculation (GGA-PBE) on a relaxed structure of La9Mg3Co2.

Unit cell a=7.5615 b=7.5615 c=9.1979 alpha=90.00 beta=90.00 gamma=120.00
Fractional positions:
La 0.0000 0.5000 0.0000
La 0.1634 0.3267 0.6634
La 0.1634 0.8366 0.6634
La 0.3267 0.1634 0.3366
La 0.5000 0.0000 0.0000
La 0.5000 0.5000 0.0000
La 0.6733 0.8366 0.6634
La 0.8366 0.1634 0.3366
La 0.8366 0.6733 0.3366
Mg 0.0000 0.0000 0.0000
Mg 0.3333 0.6667 0.3407
Mg 0.6667 0.3333 0.6593
Co 0.3333 0.6667 0.8201
Co 0.6667 0.3333 0.1799

The space group is No. 164. The calculation puts the density of states at the Fermi level at 22.6 states/eV/cell.

[14]
VASP calculation (GGA-PBE) on a relaxed structure of La3Mg2Co.

Unit cell a=9.1704 b=9.1704 c=7.3601 alpha=90.00 beta=90.00 gamma=34.48
Fractional positions:
La 0.0004 0.9996 0.2500
La 0.9996 0.0004 0.7500
La 0.3782 0.3782 0.0000
La 0.3782 0.3782 0.5000
La 0.6218 0.6218 0.0000
La 0.6218 0.6218 0.5000
Mg 0.2034 0.2037 0.2500
Mg 0.2037 0.2034 0.7500
Mg 0.7963 0.7966 0.2500
Mg 0.7966 0.7963 0.7500
Co 0.4992 0.5008 0.7500
Co 0.5008 0.4992 0.2500

The space group is No. 63. The calculation puts the density of states at the Fermi level at 11.7 states/eV/cell.

[15]
VASP calculation (GGA-PBE) on a relaxed structure of La2MgCo.

Unit cell a=5.0726 b=5.0726 c=5.0726 alpha=60.00 beta=60.00 gamma=60.00
Fractional positions:
La 0.0000 0.0000 0.0000
La 0.2500 0.2500 0.2500
Mg 0.7500 0.7500 0.7500
Co 0.5000 0.5000 0.5000

The space group is No. 216. The calculation puts the density of states at the Fermi level at 4.8 states/eV/cell.

[16]
VASP calculation (GGA-PBE) on a relaxed structure of LaMgCo3.

Unit cell a=4.6668 b=4.6668 c=4.6668 alpha=90.00 beta=90.00 gamma=90.00
Fractional positions:
La 0.0000 0.0000 0.0000
Mg 0.5000 0.5000 0.5000
Co 0.0000 0.0000 0.5000
Co 0.0000 0.5000 0.0000
Co 0.5000 0.0000 0.0000

The space group is No. 221. The calculation puts the density of states at the Fermi level at 2.2 states/eV/cell.

[17]
VASP calculation (GGA-PBE) on a relaxed structure of La3Mg3Co2.

Unit cell a=8.8406 b=8.8406 c=5.0671 alpha=98.82 beta=98.82 gamma=30.59
Fractional positions:
La 0.0000 0.0000 0.0000
La 0.1720 0.1720 0.5915
La 0.8280 0.8280 0.4085
Mg 0.3608 0.3608 0.9380
Mg 0.5000 0.5000 0.5000
Mg 0.6392 0.6392 0.0620
Co 0.2162 0.2162 0.0749
Co 0.7838 0.7838 0.9251

The space group is No. 12. The calculation puts the density of states at the Fermi level at 8.0 states/eV/cell.

[18]
VASP calculation (GGA-PBE) on a relaxed structure of La2MgCo.

Unit cell a=6.6974 b=6.6974 c=6.6974 alpha=150.05 beta=135.97 gamma=54.16
Fractional positions:
La 0.0000 0.0000 0.0000
La 0.6834 0.1834 0.5000
Mg 0.3176 0.8176 0.5000
Co 0.4963 0.4963 0.0000

The space group is No. 44. The calculation puts the density of states at the Fermi level at 3.7 states/eV/cell.

[19]
VASP calculation (GGA-PBE) on a relaxed structure of La2MgCo2.

Unit cell a=7.5124 b=7.5124 c=4.1311 alpha=90.00 beta=90.00 gamma=148.95
Fractional positions:
La 0.1386 0.8614 0.0000
La 0.8614 0.1386 0.0000
Mg 0.5000 0.5000 0.5000
Co 0.2862 0.7138 0.5000
Co 0.7138 0.2862 0.5000

The space group is No. 65. The calculation puts the density of states at the Fermi level at 5.5 states/eV/cell.

[20]
VASP calculation (GGA-PBE) on a relaxed structure of La3MgCo.

Unit cell a=5.7166 b=6.8010 c=9.3100 alpha=110.48 beta=90.12 gamma=114.80
Fractional positions:
La 0.1072 0.2133 0.2275
La 0.1516 0.2992 0.6580
La 0.3674 0.7406 0.0735
La 0.6326 0.2594 0.9265
La 0.8484 0.7008 0.3420
La 0.8928 0.7867 0.7725
Mg 0.3977 0.7989 0.5537
Mg 0.6023 0.2011 0.4463
Co 0.1304 0.2546 0.9362
Co 0.8696 0.7454 0.0638

The space group is No. 2. The calculation puts the density of states at the Fermi level at 10.8 states/eV/cell.

no.,energy of formation from the pure elements (eV/f.u.),density (Mg/m³)
1,-0.5,5.61
2,-0.4,5.25
3,-0.2,5.39
4,1.5,3.59
5,-0.4,3.58
6,-0.4,3.98
7,0.1,5.56
8,0.3,4.67
9,-1.2,5.82
10,-0.2,5.50
11,-0.2,6.08
12,0.2,5.13
13,-0.9,5.25
14,-0.5,4.97
15,0.7,6.50
16,6.4,5.56
17,-0.8,5.07
18,0.1,5.79
19,-0.5,5.80
20,-0.4,5.48